Entry 1:
# CaRhO3

CaRhO3 at its PBEsol-relaxed geometry (meta-GGA SCAN, the Alexandria database).

Properties
Magnetization, μB/cell: 2.01
Symmetry: No. 63
Formation energy from raw total energies, eV/atom: -1.967

Cell and atoms, written as POSCAR:
```
CaRhO3
1.0
3.1072 0.0000 0.0000
-1.5536 4.8528 0.0000
0.0000 0.0000 7.2536
Ca Rh O
2 2 6
direct
0.2500 0.4999 0.2500 Ca
0.7500 0.5001 0.7500 Ca
0.0000 0.0000 0.0000 Rh
0.0000 0.0000 0.5000 Rh
0.9244 0.8488 0.2500 O
0.0756 0.1512 0.7500 O
0.6267 0.2533 0.0515 O
0.3733 0.7467 0.9485 O
0.6267 0.2533 0.4485 O
0.3733 0.7467 0.5515 O
```

***

Entry 2:
# CaRhO3

CaRhO3 at its PBEsol-relaxed geometry (meta-GGA SCAN, the Alexandria database).

Properties
Magnetization, μB/cell: 4.05
Symmetry: No. 62
Formation energy from raw total energies, eV/atom: -1.939

Cell and atoms, written as POSCAR:
```
CaRhO3
1.0
5.2713 0.0000 0.0000
0.0000 5.5561 0.0000
0.0000 0.0000 7.5856
Ca Rh O
4 4 12
direct
0.0193 0.4341 0.2500 Ca
0.5193 0.0659 0.7500 Ca
0.4807 0.9341 0.2500 Ca
0.9807 0.5659 0.7500 Ca
0.0000 0.0000 0.0000 Rh
0.5000 0.5000 0.0000 Rh
0.5000 0.5000 0.5000 Rh
0.0000 0.0000 0.5000 Rh
0.3091 0.1975 0.4479 O
0.8091 0.3025 0.5521 O
0.1909 0.6975 0.0521 O
0.6909 0.8025 0.9479 O
0.6909 0.8025 0.5521 O
0.1909 0.6975 0.4479 O
0.8091 0.3025 0.9479 O
0.3091 0.1975 0.0521 O
0.1044 0.9659 0.7500 O
0.6044 0.5341 0.2500 O
0.3956 0.4659 0.7500 O
0.8956 0.0341 0.2500 O
```

***

Entry 3:
# CaRuO3

CaRuO3 at its PBEsol-relaxed geometry (meta-GGA SCAN, the Alexandria database).

Properties
Magnetization, μB/cell: 8.00
Symmetry: No. 62
Formation energy from raw total energies, eV/atom: -2.099

Cell and atoms, written as POSCAR:
```
CaRuO3
1.0
-0.1850 2.2085 4.8003
-4.6463 -2.7991 1.1087
4.1209 -5.7328 2.7963
Ca Ru O
4 4 12
direct
0.5179 0.5612 0.2500 Ca
0.9821 0.0612 0.2500 Ca
0.4821 0.4388 0.7500 Ca
0.0179 0.9388 0.7500 Ca
0.0000 0.5000 0.0000 Ru
0.5000 0.0000 0.5000 Ru
0.0000 0.5000 0.5000 Ru
0.5000 0.0000 0.0000 Ru
0.8037 0.7980 0.0490 O
0.6963 0.2980 0.4510 O
0.1963 0.2020 0.5490 O
0.3037 0.7020 0.9510 O
0.1963 0.2020 0.9510 O
0.3037 0.7020 0.5490 O
0.8037 0.7980 0.4510 O
0.6963 0.2980 0.0490 O
0.4024 0.9729 0.2500 O
0.0976 0.4729 0.2500 O
0.5976 0.0271 0.7500 O
0.9024 0.5271 0.7500 O
```

***

Entry 4:
# Ca3Ru4O14

Ca3Ru4O14 at its PBEsol-relaxed geometry (meta-GGA SCAN, the Alexandria database).

Properties
Magnetization, μB/cell: 3.55
Symmetry: No. 166
Formation energy from raw total energies, eV/atom: -1.619

Cell and atoms, written as POSCAR:
```
Ca3Ru4O14
1.0
7.1293 -0.0117 -0.0083
3.5333 6.1921 -0.0083
3.5333 2.0480 5.8436
Ca Ru O
3 4 14
direct
0.5000 0.0000 0.5000 Ca
0.5000 0.5000 0.0000 Ca
0.0000 0.5000 0.5000 Ca
0.0000 0.0000 0.0000 Ru
0.0000 0.5000 0.0000 Ru
0.0000 0.0000 0.5000 Ru
0.5000 0.0000 0.0000 Ru
0.3126 0.9415 0.3126 O
0.9309 0.3180 0.9309 O
0.3126 0.3126 0.9415 O
0.9309 0.9309 0.3180 O
0.3180 0.9309 0.9309 O
0.9415 0.3126 0.3126 O
0.6874 0.0585 0.6874 O
0.0691 0.6820 0.0691 O
0.6874 0.6874 0.0585 O
0.0691 0.0691 0.6820 O
0.6820 0.0691 0.0691 O
0.0585 0.6874 0.6874 O
0.3670 0.3670 0.3670 O
0.6330 0.6330 0.6330 O
```

***

Entry 5:
# Ca3Ru2O7

Ca3Ru2O7 at its PBEsol-relaxed geometry (meta-GGA SCAN, the Alexandria database).

Properties
Magnetization, μB/cell: 8.00
Symmetry: No. 36
Formation energy from raw total energies, eV/atom: -2.282

Cell and atoms, written as POSCAR:
```
Ca3Ru2O7
1.0
-3.2667 -0.5045 -4.1846
-2.7308 -4.0344 2.6182
-4.3546 6.8247 5.9745
Ca Ru O
6 4 14
direct
0.5551 0.3076 0.6228 Ca
0.4449 0.8076 0.3772 Ca
0.0676 0.8076 0.6228 Ca
0.9324 0.3076 0.3772 Ca
0.2669 0.6895 0.0000 Ca
0.7331 0.1895 0.0000 Ca
0.6537 0.7504 0.8027 Ru
0.3463 0.2504 0.1973 Ru
0.1490 0.2504 0.8027 Ru
0.8510 0.7504 0.1973 Ru
0.0665 0.0456 0.2343 O
0.9335 0.5456 0.7657 O
0.1678 0.5456 0.2343 O
0.8322 0.0456 0.7657 O
0.5276 0.9509 0.1606 O
0.4724 0.4509 0.8394 O
0.6330 0.4509 0.1606 O
0.3670 0.9509 0.8394 O
0.1608 0.2709 0.0000 O
0.8392 0.7709 0.0000 O
0.1213 0.2294 0.6026 O
0.8787 0.7294 0.3974 O
0.4813 0.7294 0.6026 O
0.5187 0.2294 0.3974 O
```

***

Entry 6:
# SrCa3Ru4O12

SrCa3Ru4O12 at its PBEsol-relaxed geometry (meta-GGA SCAN, the Alexandria database).

Properties
Magnetization, μB/cell: 8.00
Symmetry: No. 6
Formation energy from raw total energies, eV/atom: -2.085

Cell and atoms, written as POSCAR:
```
SrCa3Ru4O12
1.0
-0.3482 -0.2805 5.3480
-4.9415 -2.4370 -0.4591
3.3975 -6.8628 -0.1387
Sr Ca Ru O
1 3 4 12
direct
0.5095 0.5457 0.5000 Sr
0.9844 0.0541 0.5000 Ca
0.4859 0.4412 0.0000 Ca
0.0138 0.9461 0.0000 Ca
0.9994 0.5004 0.7525 Ru
0.5006 0.9995 0.2478 Ru
0.9994 0.5004 0.2475 Ru
0.5006 0.9995 0.7522 Ru
0.8045 0.8007 0.7059 O
0.7073 0.2888 0.2851 O
0.2030 0.2056 0.1996 O
0.3006 0.7036 0.7972 O
0.2030 0.2056 0.8004 O
0.3006 0.7036 0.2028 O
0.8045 0.8007 0.2941 O
0.7073 0.2888 0.7149 O
0.4081 0.9922 0.5000 O
0.0672 0.4735 0.5000 O
0.5924 0.0201 0.0000 O
0.9078 0.5298 0.0000 O
```

***

Entry 7:
# SrCa3Ru2O8

SrCa3Ru2O8 at its PBEsol-relaxed geometry (meta-GGA SCAN, the Alexandria database).

Properties
Magnetization, μB/cell: 8.03
Symmetry: No. 45
Formation energy from raw total energies, eV/atom: -2.383

Cell and atoms, written as POSCAR:
```
SrCa3Ru2O8
1.0
-1.7269 4.7657 -1.4717
-2.2251 -2.1299 -4.2864
-8.6568 -3.1806 9.3239
Sr Ca Ru O
2 6 4 16
direct
0.2011 0.7011 0.4021 Sr
0.7011 0.2011 0.4021 Sr
0.4522 0.4522 0.9043 Ca
0.9522 0.9522 0.9043 Ca
0.3006 0.3006 0.6013 Ca
0.8006 0.8006 0.6013 Ca
0.0477 0.5477 0.0954 Ca
0.5477 0.0477 0.0954 Ca
0.3769 0.8769 0.7538 Ru
0.8769 0.3769 0.7538 Ru
0.6228 0.6228 0.2456 Ru
0.1228 0.1228 0.2456 Ru
0.4270 0.3161 0.2430 O
0.9269 0.4270 0.2430 O
0.6904 0.0626 0.7530 O
0.1904 0.1904 0.7530 O
0.0626 0.6904 0.7530 O
0.5626 0.5626 0.7530 O
0.8161 0.9270 0.2430 O
0.3160 0.8161 0.2430 O
0.2957 0.7957 0.5914 O
0.7957 0.2957 0.5914 O
0.5413 0.5413 0.0826 O
0.0413 0.0413 0.0826 O
0.2071 0.2071 0.4142 O
0.7071 0.7071 0.4142 O
0.9587 0.4586 0.9173 O
0.4587 0.9586 0.9173 O
```

***

Entry 8:
# Ca2TmRuO6

Ca2TmRuO6 at its PBEsol-relaxed geometry (meta-GGA SCAN, the Alexandria database).

Properties
Magnetization, μB/cell: 6.00
Symmetry: No. 14
Formation energy from raw total energies, eV/atom: -2.799

Cell and atoms, written as POSCAR:
```
Ca2TmRuO6
1.0
5.4916 0.0000 0.0164
0.0000 5.7019 0.0000
0.0509 0.0000 7.8845
Ca Tm Ru O
4 2 2 12
direct
0.9836 0.4432 0.2505 Ca
0.0164 0.5568 0.7495 Ca
0.5164 0.9432 0.2495 Ca
0.4836 0.0568 0.7505 Ca
0.0000 0.0000 0.5000 Tm
0.5000 0.5000 0.0000 Tm
0.0000 0.0000 0.0000 Ru
0.5000 0.5000 0.5000 Ru
0.1057 0.0395 0.2343 O
0.8943 0.9605 0.7657 O
0.3943 0.5395 0.2657 O
0.6057 0.4605 0.7343 O
0.8173 0.7157 0.0589 O
0.1827 0.2843 0.9411 O
0.6827 0.2157 0.4411 O
0.3173 0.7843 0.5589 O
0.7138 0.1885 0.0531 O
0.2862 0.8115 0.9469 O
0.7862 0.6885 0.4469 O
0.2138 0.3115 0.5531 O
```

***

Entry 9:
# CaS2O

CaS2O at its PBEsol-relaxed geometry (meta-GGA SCAN, the Alexandria database).

Properties
Magnetization, μB/cell: 0.00
Symmetry: No. 166
Formation energy from raw total energies, eV/atom: -0.757

Cell and atoms, written as POSCAR:
```
CaS2O
1.0
-4.1719 1.2151 -0.5283
-2.4658 -1.9156 -3.0676
-3.8619 -4.2339 2.6251
Ca S O
1 2 1
direct
0.5000 0.5000 0.5000 Ca
0.9045 0.9045 0.2865 S
0.0955 0.0955 0.7135 S
0.0000 0.0000 0.0000 O
```

***

Which uncorrected energy belongs to each record? In order, -14.39; -14.36; -14.74; -13.79; -14.14; -15.35; -14.58; -17.14; -9.54 eV/atom.